DFT (PBE-GGA) results for a relaxed structure of TaZnRe2.

Cell: 9.525 9.525 9.525 Å, 16.80 16.80 16.80°
Fractional positions:
Ta  0.000  0.000  0.000
Zn  0.500  0.500  0.500
Re  0.247  0.247  0.247
Re  0.753  0.753  0.753

Calculated values
* calculated total energy: -9.266 eV/atom
* volume: 62.96 Å³ per cell
* DFT formation energy: 239 meV per atom
* magnetization: 0.00 μB/atom

***

DFT (PBE-GGA) results for a relaxed structure of CsK2Hg2Sb2.

Cell: 11.722 11.722 11.722 Å, 26.21 26.21 26.21°
Fractional positions:
Cs  0.000  0.000  0.000
K  0.134  0.134  0.134
K  0.866  0.866  0.866
Hg  0.414  0.414  0.414
Hg  0.586  0.586  0.586
Sb  0.250  0.250  0.250
Sb  0.750  0.750  0.750

Calculated values
* ΔE_f (raw): -0.330 eV per atom
* calculated total energy: -2.030 eV/atom
* volume: 276.77 Å³ per cell
* magnetization: 0.00 μB/atom

***

DFT (PBE-GGA) results for a relaxed structure of NpTcOs.

Cell: 6.669 6.669 6.669 Å, 155.44 155.44 35.01°
Fractional positions:
Np  0.000  0.000  0.000
Tc  0.687  0.687  0.000
Os  0.317  0.317  0.000

Calculated values
* calculated total energy: -11.304 eV/atom
* volume: 51.17 Å³ per cell
* DFT formation energy: 208 meV per atom
* offset from the most stable computed form: 0 meV per atom
* magnetization: 0.87 μB/atom

***

DFT (PBE-GGA) results for a relaxed structure of Ti2InF.

Cell: 7.331 7.331 7.331 Å, 140.38 140.38 57.28°
Fractional positions:
Ti  0.000  0.000  0.000
Ti  0.000  0.000  0.500
Ti  0.000  0.500  0.000
Ti  0.500  0.000  0.500
In  0.375  0.625  0.750
In  0.625  0.375  0.250
F  0.125  0.875  0.250
F  0.875  0.125  0.750

Calculated values
* ΔE_f (raw): -0.509 eV per atom
* calculated total energy: -5.609 eV/atom
* volume: 158.88 Å³ per cell
* offset from the most stable computed form: 0 meV per atom
* magnetization: 0.12 μB/atom

***

DFT (PBE-GGA) results for a relaxed structure of ReSiPS2.

Cell: 4.338 4.338 4.426 Å, 90.00 90.00 90.00°
Fractional positions:
Re  0.000  0.000  0.000
Si  0.500  0.500  0.500
P  0.500  0.500  0.000
S  0.000  0.500  0.500
S  0.500  0.000  0.500

Calculated values
* ΔE_f (raw): 1.131 eV per atom
* calculated total energy: -5.176 eV/atom
* volume: 83.28 Å³ per cell
* offset from the most stable computed form: 389 meV per atom
* magnetization: 0.30 μB/atom

***

DFT (PBE-GGA) results for a relaxed structure of Y4Ag2Te.

Cell: 8.216 8.216 8.216 Å, 139.93 139.93 57.95°
Fractional positions:
Y  0.000  0.500  0.500
Y  0.207  0.207  0.000
Y  0.500  0.000  0.500
Y  0.793  0.793  0.000
Ag  0.401  0.401  0.000
Ag  0.599  0.599  0.000
Te  0.000  0.000  0.000

Calculated values
* ΔE_f (raw): -0.114 eV per atom
* calculated total energy: -5.071 eV/atom
* volume: 227.70 Å³ per cell
* magnetization: 0.00 μB/atom

***

DFT (PBE-GGA) results for a relaxed structure of PaZnS3.

Cell: 6.525 6.958 10.961 Å, 90.00 118.33 90.00°
Fractional positions:
Pa  0.156  0.132  0.215
Pa  0.156  0.368  0.715
Pa  0.844  0.632  0.285
Pa  0.844  0.868  0.785
Zn  0.248  0.672  0.117
Zn  0.248  0.828  0.617
Zn  0.752  0.172  0.383
Zn  0.752  0.328  0.883
S  0.105  0.184  0.936
S  0.105  0.316  0.436
S  0.234  0.656  0.904
S  0.234  0.844  0.404
S  0.457  0.063  0.781
S  0.457  0.437  0.281
S  0.543  0.563  0.719
S  0.543  0.937  0.219
S  0.766  0.156  0.596
S  0.766  0.344  0.096
S  0.895  0.684  0.564
S  0.895  0.816  0.064

Calculated values
* ΔE_f (raw): -1.122 eV per atom
* calculated total energy: -5.753 eV/atom
* volume: 438.02 Å³ per cell
* magnetization: 0.20 μB/atom

***

DFT (PBE-GGA) results for a relaxed structure of HfNb2Co2.

Cell: 7.561 7.561 2.783 Å, 90.00 90.00 90.00°
Fractional positions:
Hf  0.000  0.000  0.000
Hf  0.500  0.500  0.000
Nb  0.148  0.352  0.000
Nb  0.352  0.852  0.000
Nb  0.648  0.148  0.000
Nb  0.852  0.648  0.000
Co  0.147  0.647  0.500
Co  0.353  0.147  0.500
Co  0.647  0.853  0.500
Co  0.853  0.353  0.500

Calculated values
* calculated total energy: -8.780 eV/atom
* volume: 159.13 Å³ per cell
* DFT formation energy: 81 meV per atom
* offset from the most stable computed form: 194 meV per atom
* magnetization: 0.00 μB/atom

***

Which value of magnetization does entry 7 give? 0.20 μB/atom

***

What is the magnetization in the first record? 0.00 μB/atom